Entry 1:
Computed, not measured: crystalline LaFeNiP2 at its relaxed geometry at the PBE level of DFT.

```
LaFeNiP2
1.0
3.813 0.000 0.000
0.000 3.813 0.000
0.000 0.000 11.121
La Fe Ni P
2 2 2 4
Direct
0.000 0.000 0.000
0.500 0.500 0.500
0.000 0.500 0.250
0.500 0.000 0.750
0.000 0.500 0.750
0.500 0.000 0.250
0.000 0.000 0.355
0.000 0.000 0.645
0.500 0.500 0.145
0.500 0.500 0.855
```

Results
Its crystal system is tetragonal. The energy comes out at -34.78 eV/f.u. As for the spin magnetization: 1.1 μB/f.u.



Entry 2:
Computed, not measured: crystalline La2Pa3FeNi12 at its relaxed geometry at the PBE level of DFT.

```
La2Pa3FeNi12
1.0
4.428 2.556 4.353
-4.428 2.556 4.353
0.000 -5.113 4.353
La Pa Fe Ni
2 3 1 12
Direct
0.139 0.139 0.139
0.861 0.861 0.861
0.000 0.500 0.500
0.500 0.000 0.500
0.500 0.500 0.000
0.500 0.500 0.500
0.100 0.100 0.585
0.100 0.585 0.100
0.250 0.699 0.699
0.301 0.301 0.750
0.301 0.750 0.301
0.415 0.900 0.900
0.585 0.100 0.100
0.699 0.250 0.699
0.699 0.699 0.250
0.750 0.301 0.301
0.900 0.415 0.900
0.900 0.900 0.415
```

Results
Its crystal system is trigonal. The energy comes out at -118.85 eV/f.u. As for the spin magnetization: 3.8 μB/f.u.



Entry 3:
Computed, not measured: crystalline La6FeNiPb2 at its relaxed geometry at the PBE level of DFT.

```
La6FeNiPb2
1.0
5.309 -5.466 0.000
5.309 5.466 0.000
-5.300 0.000 5.317
La Fe Ni Pb
6 1 1 2
Direct
0.000 0.000 0.000
0.001 0.001 0.471
0.015 0.495 0.990
0.495 0.015 0.990
0.521 0.521 0.517
0.522 0.522 0.997
0.730 0.730 0.966
0.257 0.257 0.993
0.006 0.505 0.491
0.505 0.006 0.491
```

Results
Its crystal system is monoclinic. The energy comes out at -54.78 eV/f.u. As for the spin magnetization: 0.0 μB/f.u.



Entry 4:
Computed, not measured: crystalline La2FeNi3Pt12 at its relaxed geometry at the PBE level of DFT.

```
La2FeNi3Pt12
1.0
3.383 1.953 8.528
-3.383 1.953 8.528
0.000 -3.906 8.528
La Fe Ni Pt
2 1 3 12
Direct
0.158 0.158 0.158
0.842 0.842 0.842
0.500 0.500 0.500
0.000 0.500 0.500
0.500 0.000 0.500
0.500 0.500 0.000
0.087 0.087 0.685
0.087 0.685 0.087
0.151 0.571 0.571
0.315 0.913 0.913
0.429 0.429 0.849
0.429 0.850 0.429
0.571 0.151 0.571
0.571 0.571 0.151
0.685 0.087 0.087
0.849 0.429 0.429
0.913 0.315 0.913
0.913 0.913 0.315
```

Results
Its crystal system is trigonal. The energy comes out at -110.74 eV/f.u. As for the spin magnetization: 2.9 μB/f.u.



Entry 5:
Computed, not measured: crystalline La3FeNiS7 at its relaxed geometry at the PBE level of DFT.

```
La3FeNiS7
1.0
10.063 0.000 0.000
-5.031 8.715 0.000
0.000 0.000 6.170
La Fe Ni S
6 2 2 14
Direct
0.149 0.774 0.000
0.226 0.375 0.000
0.375 0.149 0.500
0.625 0.851 0.000
0.774 0.625 0.500
0.851 0.226 0.500
0.333 0.667 0.581
0.667 0.333 0.081
0.000 0.000 0.185
0.000 0.000 0.685
0.089 0.868 0.427
0.096 0.521 0.720
0.132 0.221 0.427
0.221 0.089 0.927
0.333 0.667 0.217
0.425 0.904 0.720
0.479 0.575 0.720
0.521 0.425 0.220
0.575 0.096 0.220
0.667 0.333 0.717
0.779 0.911 0.427
0.868 0.779 0.927
0.904 0.479 0.220
0.911 0.132 0.927
```

Results
The energy relative to the elements, uncorrected is -33.55 kcal/mol of atoms. Its crystal system is hexagonal. The energy comes out at -75.38 eV/f.u. As for the spin magnetization: 3.0 μB/f.u.



Entry 6:
Computed, not measured: crystalline LaFeNi2Se at its relaxed geometry at the PBE level of DFT.

```
LaFeNi2Se
1.0
4.390 0.000 0.000
0.000 4.390 0.000
0.000 0.000 5.450
La Fe Ni Se
1 1 2 1
Direct
0.000 0.000 0.000
0.000 0.000 0.500
0.000 0.500 0.500
0.500 0.000 0.500
0.500 0.500 0.000
```

Results
The energy relative to the elements, uncorrected is 5.04 kcal/mol of atoms. Its crystal system is tetragonal. The energy comes out at -27.34 eV/f.u. As for the spin magnetization: 3.8 μB/f.u.



Entry 7:
Computed, not measured: crystalline LaFeSi3Ni at its relaxed geometry at the PBE level of DFT.

```
LaFeSi3Ni
1.0
3.063 -5.841 0.000
3.063 5.841 0.000
0.000 0.000 5.789
La Fe Si Ni
2 2 6 2
Direct
0.239 0.761 0.750
0.761 0.239 0.250
0.036 0.964 0.250
0.964 0.036 0.750
0.216 0.784 0.250
0.286 0.286 0.000
0.286 0.286 0.500
0.714 0.714 0.000
0.714 0.714 0.500
0.784 0.216 0.750
0.397 0.603 0.250
0.603 0.397 0.750
```

Results
The energy relative to the elements, uncorrected is -9.62 kcal/mol of atoms. Its crystal system is orthorhombic. The energy comes out at -37.94 eV/f.u. As for the spin magnetization: 0.2 μB/f.u.



Entry 8:
Computed, not measured: crystalline LaFeSi2Ni at its relaxed geometry at the PBE level of DFT.

```
LaFeSi2Ni
1.0
3.997 0.000 0.000
0.000 3.997 0.000
0.000 0.000 10.199
La Fe Si Ni
2 2 4 2
Direct
0.000 0.000 0.000
0.500 0.500 0.500
0.000 0.500 0.750
0.500 0.000 0.250
0.000 0.000 0.365
0.000 0.000 0.635
0.500 0.500 0.135
0.500 0.500 0.865
0.000 0.500 0.250
0.500 0.000 0.750
```

Results
The energy relative to the elements, uncorrected is -15.57 kcal/mol of atoms. Its crystal system is tetragonal. The energy comes out at -33.39 eV/f.u. As for the spin magnetization: 0.0 μB/f.u.



Entry 9:
Computed, not measured: crystalline LaFeSiNi6 at its relaxed geometry at the PBE level of DFT.

```
LaFeSiNi6
1.0
-3.123 4.208 4.947
3.123 -4.208 4.947
3.123 4.208 -4.947
La Fe Si Ni
2 2 2 12
Direct
0.486 0.236 0.250
0.514 0.764 0.750
0.000 0.000 0.500
0.000 0.500 0.000
0.000 0.000 0.000
0.500 0.000 0.500
0.109 0.425 0.288
0.109 0.821 0.684
0.175 0.925 0.250
0.219 0.469 0.750
0.362 0.179 0.788
0.362 0.575 0.184
0.638 0.425 0.816
0.638 0.821 0.212
0.781 0.531 0.250
0.825 0.075 0.750
0.891 0.179 0.316
0.891 0.575 0.712
```

Results
The energy relative to the elements, uncorrected is 0.98 kcal/mol of atoms. Its crystal system is orthorhombic. The energy comes out at -53.12 eV/f.u. As for the spin magnetization: 3.7 μB/f.u.



Entry 10:
Computed, not measured: crystalline LaTi2FeNi at its relaxed geometry at the PBE level of DFT.

```
LaTi2FeNi
1.0
4.431 0.000 0.000
0.000 4.431 0.000
0.000 0.000 4.878
La Ti Fe Ni
1 2 1 1
Direct
0.000 0.000 0.000
0.000 0.500 0.500
0.500 0.000 0.500
0.500 0.500 0.500
0.500 0.500 0.000
```

Results
Its crystal system is tetragonal. The energy comes out at -34.15 eV/f.u. As for the spin magnetization: 1.0 μB/f.u.



Entry 11:
Computed, not measured: crystalline La2YFeNi at its relaxed geometry at the PBE level of DFT.

```
La2YFeNi
1.0
5.772 0.000 0.000
0.000 5.772 0.000
0.000 0.000 4.535
La Y Fe Ni
2 1 1 1
Direct
0.000 0.500 0.000
0.500 0.000 0.000
0.000 0.000 0.000
0.500 0.500 0.500
0.000 0.000 0.500
```

Results
Its crystal system is tetragonal. The energy comes out at -23.58 eV/f.u. As for the spin magnetization: 0.5 μB/f.u.



Entry 12:
Computed, not measured: crystalline LaNpFe at its relaxed geometry at the PBE level of DFT.

```
LaNpFe
1.0
10.059 0.000 0.000
0.000 4.973 0.000
-4.541 0.000 5.210
La Np Fe
4 4 4
Direct
0.083 0.000 0.351
0.417 0.500 0.649
0.583 0.500 0.351
0.917 0.000 0.649
0.120 0.500 0.998
0.380 0.000 0.002
0.620 0.000 0.998
0.880 0.500 0.002
0.155 0.500 0.728
0.345 0.000 0.272
0.655 0.000 0.728
0.845 0.500 0.272
```

Results
Its crystal system is monoclinic. The energy comes out at -25.89 eV/f.u. As for the spin magnetization: 1.3 μB/f.u.